Compound: Pr6Y2In3
Source: the Alexandria database
Functional: PBE-GGA
Structure: optimized geometry

E_tot: -0.1595 Ha/atom
Energy relative to the elements: 2.08 eV per formula unit
SG: I4/mmm, No. 139
Density: 6014 kg/m3
Total magnetization: 0.0 μB per formula unit

Cell: 5.518 5.518 13.001 Å, 102.25 102.25 90.00°
Fractional coordinates of all 11 atoms:
Pr  0.098  0.598  0.196
Pr  0.598  0.098  0.196
Pr  0.902  0.402  0.804
Pr  0.402  0.902  0.804
Pr  0.699  0.699  0.397
Pr  0.301  0.301  0.603
Y  0.442  0.442  0.884
Y  0.558  0.558  0.116
In  0.000  0.000  0.000
In  0.827  0.827  0.654
In  0.173  0.173  0.346